## Ti7Br16 (SCAN)

Data for a PBEsol-optimized structure of Ti7Br16.

abc: 7.109 10.402 14.917
angles: 90.00 90.00 90.00
Element x y z (fractional)
Ti (0.000, 0.000, 0.000)
Ti (0.500, 0.500, 0.500)
Ti (0.500, 0.542, 0.764)
Ti (0.500, 0.458, 0.236)
Ti (0.000, 0.042, 0.736)
Ti (0.000, 0.958, 0.264)
Ti (0.702, 0.747, 0.862)
Ti (0.702, 0.253, 0.138)
Ti (0.798, 0.247, 0.638)
Ti (0.798, 0.753, 0.362)
Ti (0.298, 0.253, 0.138)
Ti (0.298, 0.747, 0.862)
Ti (0.202, 0.753, 0.362)
Ti (0.202, 0.247, 0.638)
Br (0.000, 0.754, 0.982)
Br (0.000, 0.246, 0.018)
Br (0.500, 0.254, 0.518)
Br (0.500, 0.746, 0.482)
Br (0.500, 0.759, 0.997)
Br (0.500, 0.241, 0.003)
Br (0.000, 0.259, 0.503)
Br (0.000, 0.741, 0.497)
Br (0.000, 0.774, 0.750)
Br (0.000, 0.226, 0.250)
Br (0.500, 0.274, 0.750)
Br (0.500, 0.726, 0.250)
Br (0.500, 0.775, 0.726)
Br (0.500, 0.225, 0.274)
Br (0.000, 0.275, 0.774)
Br (0.000, 0.725, 0.226)
Br (0.749, 0.007, 0.870)
Br (0.749, 0.993, 0.130)
Br (0.751, 0.507, 0.630)
Br (0.751, 0.493, 0.370)
Br (0.251, 0.993, 0.130)
Br (0.251, 0.007, 0.870)
Br (0.249, 0.493, 0.370)
Br (0.249, 0.507, 0.630)
Br (0.751, 0.512, 0.877)
Br (0.751, 0.488, 0.123)
Br (0.749, 0.012, 0.623)
Br (0.749, 0.988, 0.377)
Br (0.249, 0.488, 0.123)
Br (0.249, 0.512, 0.877)
Br (0.251, 0.988, 0.377)
Br (0.251, 0.012, 0.623)

Results
Calculated volume in Å³ per atom: 23.98
Energy relative to the elements, uncorrected in kJ/mol of atoms: -126.5
Crystal system: orthorhombic
VASP energy in eV/cell: -907.5

## RbNa3Li12Ti4O16 (SCAN)

Data for a PBEsol-optimized structure of RbNa3Li12Ti4O16.

abc: 6.487 8.549 8.549
angles: 81.72 67.70 67.70
Element x y z (fractional)
Rb (0.000, 0.000, 0.000)
Na (0.500, 0.000, 0.000)
Na (0.250, 0.500, 0.500)
Na (0.750, 0.500, 0.500)
Li (0.082, 0.196, 0.639)
Li (0.341, 0.676, 0.134)
Li (0.849, 0.676, 0.134)
Li (0.721, 0.361, 0.196)
Li (0.475, 0.866, 0.676)
Li (0.983, 0.866, 0.676)
Li (0.017, 0.134, 0.324)
Li (0.525, 0.134, 0.324)
Li (0.279, 0.639, 0.804)
Li (0.659, 0.324, 0.866)
Li (0.151, 0.324, 0.866)
Li (0.918, 0.804, 0.361)
Ti (0.419, 0.804, 0.358)
Ti (0.223, 0.358, 0.196)
Ti (0.777, 0.642, 0.804)
Ti (0.581, 0.196, 0.642)
O (0.323, 0.768, 0.586)
O (0.180, 0.899, 0.274)
O (0.647, 0.899, 0.274)
O (0.572, 0.597, 0.260)
O (0.091, 0.586, 0.232)
O (0.169, 0.260, 0.403)
O (0.454, 0.726, 0.899)
O (0.921, 0.726, 0.899)
O (0.546, 0.274, 0.101)
O (0.079, 0.274, 0.101)
O (0.831, 0.740, 0.597)
O (0.909, 0.414, 0.768)
O (0.428, 0.403, 0.740)
O (0.353, 0.101, 0.726)
O (0.820, 0.101, 0.726)
O (0.677, 0.232, 0.414)

Results
Calculated volume in Å³ per atom: 11.27
Energy relative to the elements, uncorrected in kJ/mol of atoms: -245.6
Crystal system: tetragonal
VASP energy in eV/cell: -317.5

## Tc3P (SCAN)

Data for a PBEsol-optimized structure of Tc3P.

abc: 2.868 4.273 5.002
angles: 115.28 106.66 90.00
Element x y z (fractional)
P (0.000, 0.000, 0.000)
Tc (0.720, 0.220, 0.440)
Tc (0.500, 0.500, 0.000)
Tc (0.280, 0.780, 0.560)

Results
Calculated volume in Å³ per atom: 13.14
ΔE_f in meV/atom: -284
Crystal system: orthorhombic
VASP energy in eV/cell: -116.7
ΔE to the lowest computed polymorph in meV/atom: 83

## RbCaNi2Ge (SCAN)

Data for a PBEsol-optimized structure of RbCaNi2Ge.

abc: 4.562 4.562 5.608
angles: 90.00 90.00 90.00
Element x y z (fractional)
Ni (0.000, 0.500, 0.000)
Ni (0.500, 0.000, 0.000)
Ge (0.000, 0.000, 0.000)
Ca (0.500, 0.500, 0.500)
Rb (0.000, 0.000, 0.500)

Results
Calculated volume in Å³ per atom: 23.34
ΔE_f in meV/atom: 645
Crystal system: tetragonal
VASP energy in eV/cell: -78.6

## ZrAgAu2 (SCAN)

Data for a PBEsol-optimized structure of ZrAgAu2.

abc: 4.658 4.649 4.658
angles: 59.94 90.00 120.06
Element x y z (fractional)
Au (0.750, 0.500, 0.750)
Au (0.250, 0.500, 0.250)
Zr (0.500, 0.000, 0.500)
Ag (0.000, 0.000, 0.000)

Results
Calculated volume in Å³ per atom: 17.80
ΔE_f in meV/atom: -538
Crystal system: tetragonal
VASP energy in eV/cell: -202.5
ΔE to the lowest computed polymorph in meV/atom: 0

## MgRe (SCAN)

Data for a PBEsol-optimized structure of MgRe.

abc: 3.055 3.055 7.208
angles: 90.00 90.00 90.00
Element x y z (fractional)
Re (0.500, 0.000, 0.096)
Re (0.000, 0.500, 0.904)
Mg (0.500, 0.000, 0.652)
Mg (0.000, 0.500, 0.348)

Results
Calculated volume in Å³ per atom: 16.81
ΔE_f in meV/atom: 22
Crystal system: tetragonal
VASP energy in eV/cell: -152.1
ΔE to the lowest computed polymorph in meV/atom: 0

## HSeS2Cl (SCAN)

Data for a PBEsol-optimized structure of HSeS2Cl.

abc: 3.616 3.616 6.835
angles: 90.00 90.00 90.00
Element x y z (fractional)
H (0.000, 0.000, 0.000)
S (0.000, 0.500, 0.000)
S (0.500, 0.000, 0.000)
Se (0.500, 0.500, 0.500)
Cl (0.000, 0.000, 0.500)

Results
Calculated volume in Å³ per atom: 17.88
Crystal system: tetragonal
VASP energy in eV/cell: -47.2

## LiCdAu (SCAN)

Data for a PBEsol-optimized structure of LiCdAu.

abc: 4.465 4.465 4.465
angles: 60.00 60.00 60.00
Element x y z (fractional)
Au (0.500, 0.500, 0.500)
Cd (0.250, 0.250, 0.250)
Li (0.000, 0.000, 0.000)

Results
Calculated volume in Å³ per atom: 20.98
ΔE_f in meV/atom: -223
Crystal system: cubic
VASP energy in eV/cell: -102.6
ΔE to the lowest computed polymorph in meV/atom: 225

## TcCN2F (SCAN)

Data for a PBEsol-optimized structure of TcCN2F.

abc: 3.796 3.796 3.950
angles: 90.00 90.00 90.00
Element x y z (fractional)
C (0.500, 0.500, 0.500)
N (0.000, 0.500, 0.000)
N (0.500, 0.000, 0.000)
Tc (0.000, 0.000, 0.000)
F (0.000, 0.000, 0.500)

Results
Calculated volume in Å³ per atom: 11.38
Energy relative to the elements, uncorrected in kJ/mol of atoms: 127.1
Crystal system: tetragonal
VASP energy in eV/cell: -60.7

## LiTi6O12 (SCAN)

Data for a PBEsol-optimized structure of LiTi6O12.

abc: 5.771 7.694 9.514
angles: 90.00 90.00 99.33
Element x y z (fractional)
Li (0.044, 0.229, 0.962)
Li (0.956, 0.771, 0.462)
Ti (0.141, 0.425, 0.354)
Ti (0.366, 0.566, 0.636)
Ti (0.032, 0.235, 0.631)
Ti (0.328, 0.085, 0.146)
Ti (0.968, 0.765, 0.131)
Ti (0.634, 0.434, 0.136)
Ti (0.191, 0.901, 0.863)
Ti (0.859, 0.575, 0.854)
Ti (0.523, 0.238, 0.864)
Ti (0.809, 0.099, 0.363)
Ti (0.477, 0.762, 0.364)
Ti (0.672, 0.915, 0.646)
O (0.945, 0.527, 0.227)
O (0.202, 0.648, 0.466)
O (0.055, 0.473, 0.727)
O (0.448, 0.526, 0.274)
O (0.118, 0.191, 0.272)
O (0.964, 0.011, 0.536)
O (0.302, 0.349, 0.534)
O (0.036, 0.989, 0.036)
O (0.361, 0.313, 0.036)
O (0.698, 0.651, 0.034)
O (0.552, 0.474, 0.774)
O (0.207, 0.147, 0.784)
O (0.279, 0.854, 0.229)
O (0.624, 0.194, 0.224)
O (0.468, 0.016, 0.967)
O (0.129, 0.684, 0.965)
O (0.798, 0.352, 0.966)
O (0.532, 0.984, 0.467)
O (0.871, 0.316, 0.465)
O (0.721, 0.146, 0.729)
O (0.376, 0.806, 0.724)
O (0.793, 0.853, 0.284)
O (0.639, 0.687, 0.536)
O (0.882, 0.809, 0.772)

Results
Calculated volume in Å³ per atom: 10.97
Energy relative to the elements, uncorrected in kJ/mol of atoms: -309.1
Crystal system: monoclinic
VASP energy in eV/cell: -468.4
ΔE to the lowest computed polymorph in meV/atom: 21

## RbTcPtI2 (SCAN)

Data for a PBEsol-optimized structure of RbTcPtI2.

abc: 5.401 5.401 5.955
angles: 90.00 90.00 90.00
Element x y z (fractional)
I (0.000, 0.500, 0.000)
I (0.500, 0.000, 0.000)
Rb (0.000, 0.000, 0.500)
Tc (0.500, 0.500, 0.500)
Pt (0.000, 0.000, 0.000)

Results
Calculated volume in Å³ per atom: 34.75
Energy relative to the elements, uncorrected in kJ/mol of atoms: 73.9
Crystal system: tetragonal
VASP energy in eV/cell: -195.6

## BN (SCAN)

Data for a PBEsol-optimized structure of BN.

abc: 3.673 4.926 4.931
angles: 90.00 112.91 90.00
Element x y z (fractional)
B (0.500, 0.642, 0.641)
B (0.500, 0.358, 0.359)
B (0.500, 0.142, 0.859)
B (0.500, 0.858, 0.141)
N (0.501, 0.657, 0.343)
N (0.501, 0.843, 0.843)
N (0.499, 0.343, 0.657)
N (0.499, 0.157, 0.157)

Results
Calculated volume in Å³ per atom: 10.27
Energy relative to the elements, uncorrected in kJ/mol of atoms: -106.8
Crystal system: monoclinic
VASP energy in eV/cell: -75.7
ΔE to the lowest computed polymorph in meV/atom: 349